(1)
Tl2SiBr: optimized geometry, GGA-PBE.

Unit cell a=3.6009 b=3.6009 c=8.4099 alpha=90.00 beta=90.00 gamma=89.90
With the nearest neighbours (Å) after each atom.
Sites, in units of the cell vectors:
Br 0.5000 0.5000 0.2500  8 Tl 3.39, 4 Br 3.60
Si 0.5000 0.5000 0.7500  8 Tl 3.22
Tl 0.0000 0.0000 0.9838  4 Si 3.22, 4 Br 3.39
Tl 0.0000 0.0000 0.5162  4 Si 3.22, 4 Br 3.39

raw formation energy = 137 meV per atom
energy relative to the lowest polymorph listed for this composition = 76 meV/atom



(2)
Hf2ScBeTl: optimized geometry, GGA-PBE.

Unit cell a=5.2784 b=5.2063 c=5.2784 alpha=90.00 beta=90.00 gamma=90.00
With the nearest neighbours (Å) after each atom.
Sites, in units of the cell vectors:
Sc 0.0000 0.5000 0.0000  2 Tl 2.60
Be 0.5000 0.5000 0.5000  8 Hf 3.71, 4 Sc 3.73
Tl 0.0000 0.0000 0.0000  2 Sc 2.60, 4 Hf 2.64
Hf 0.0000 0.0000 0.5000  2 Tl 2.64
Hf 0.5000 0.0000 0.0000  2 Tl 2.64

formation energy from the elements = 1.48 eV per atom



| no. | mass density (g/cm3) | E (eV per atom) |
| --- | --- | --- |
| 1 | 7.87 | -2.8200 |
| 2 | 7.04 | -4.9876 |